# 1
{
  "formula": "NdI3O9",
  "functional": "GGA-PBE",
  "state": "relaxed",
  "lattice": [[8.7709, 0.0000, 0.0000], [0.0000, 5.8017, 0.0000], [-6.9248, 0.0000, 14.9193]],
  "species": ["Nd", "Nd", "Nd", "Nd", "I", "I", "I", "I", "I", "I", "I", "I", "I", "I", "I", "I", "O", "O", "O", "O", "O", "O", "O", "O", "O", "O", "O", "O", "O", "O", "O", "O", "O", "O", "O", "O", "O", "O", "O", "O", "O", "O", "O", "O", "O", "O", "O", "O", "O", "O", "O", "O"],
  "fractional_positions": [[0.1365, 0.2385, 0.0986], [0.1365, 0.2615, 0.5986], [0.8635, 0.7385, 0.4014], [0.8635, 0.7615, 0.9014], [0.0735, 0.1889, 0.3467], [0.0735, 0.3111, 0.8467], [0.3644, 0.6460, 0.5249], [0.3644, 0.8540, 0.0249], [0.4150, 0.5946, 0.7989], [0.4150, 0.9054, 0.2989], [0.5850, 0.0946, 0.7011], [0.5850, 0.4054, 0.2011], [0.6356, 0.1460, 0.9751], [0.6356, 0.3540, 0.4751], [0.9265, 0.6889, 0.1533], [0.9265, 0.8111, 0.6533], [0.0634, 0.0567, 0.7113], [0.0634, 0.4433, 0.2113], [0.0912, 0.0772, 0.4556], [0.0912, 0.4228, 0.9556], [0.1021, 0.6091, 0.6734], [0.1021, 0.8909, 0.1734], [0.1362, 0.5906, 0.4924], [0.1362, 0.9094, 0.9924], [0.3303, 0.5942, 0.8842], [0.3303, 0.9058, 0.3842], [0.3428, 0.1965, 0.2571], [0.3428, 0.3035, 0.7571], [0.3604, 0.0942, 0.9467], [0.3604, 0.4058, 0.4467], [0.3686, 0.5102, 0.1312], [0.3686, 0.9898, 0.6312], [0.4103, 0.0339, 0.1251], [0.4103, 0.4661, 0.6251], [0.5897, 0.5339, 0.3749], [0.5897, 0.9661, 0.8749], [0.6314, 0.0102, 0.3688], [0.6314, 0.4898, 0.8688], [0.6396, 0.5942, 0.5533], [0.6396, 0.9058, 0.0533], [0.6572, 0.6965, 0.2429], [0.6572, 0.8035, 0.7429], [0.6697, 0.0942, 0.6158], [0.6697, 0.4058, 0.1158], [0.8638, 0.0906, 0.0076], [0.8638, 0.4094, 0.5076], [0.8979, 0.1091, 0.8266], [0.8979, 0.3909, 0.3266], [0.9088, 0.5772, 0.0444], [0.9088, 0.9228, 0.5444], [0.9366, 0.5567, 0.7887], [0.9366, 0.9433, 0.2887]],
  "vol_a3_per_atom": 14.60,
  "spacegroup": "No. 14",
  "relative_energy_mev_per_atom": 0.0,
  "total_magnetization_mub_per_fu": 0.00
}

***

# 2
{
  "formula": "NdI3O9",
  "functional": "GGA-PBE",
  "state": "relaxed",
  "lattice": [[4.9553, 2.8609, 4.6960], [-4.9553, 2.8609, 4.6960], [0.0000, -5.7219, 4.6960]],
  "species": ["Nd", "Nd", "I", "I", "I", "I", "I", "I", "O", "O", "O", "O", "O", "O", "O", "O", "O", "O", "O", "O", "O", "O", "O", "O", "O", "O"],
  "fractional_positions": [[0.1683, 0.1683, 0.1683], [0.8317, 0.8317, 0.8317], [0.1267, 0.6944, 0.4138], [0.3056, 0.5862, 0.8733], [0.4138, 0.1267, 0.6944], [0.5862, 0.8733, 0.3056], [0.6944, 0.4138, 0.1267], [0.8733, 0.3056, 0.5862], [0.0354, 0.9116, 0.3030], [0.0824, 0.3323, 0.4284], [0.0884, 0.6970, 0.9646], [0.2237, 0.4166, 0.7436], [0.2564, 0.7763, 0.5834], [0.3030, 0.0354, 0.9116], [0.3323, 0.4284, 0.0824], [0.4166, 0.7436, 0.2237], [0.4284, 0.0824, 0.3323], [0.5716, 0.9176, 0.6677], [0.5834, 0.2564, 0.7763], [0.6677, 0.5716, 0.9176], [0.6970, 0.9646, 0.0884], [0.7436, 0.2237, 0.4166], [0.7763, 0.5834, 0.2564], [0.9116, 0.3030, 0.0354], [0.9176, 0.6677, 0.5716], [0.9646, 0.0884, 0.6970]],
  "vol_a3_per_atom": 15.36,
  "spacegroup": "No. 148",
  "relative_energy_mev_per_atom": 48.3,
  "total_magnetization_mub_per_fu": 0.00
}

***

# 3
{
  "formula": "PmNdI2O2",
  "functional": "GGA-PBE",
  "state": "relaxed",
  "lattice": [[4.0619, 0.0000, 0.0000], [0.0000, 4.0619, 0.0000], [0.0000, 0.0000, 9.2214]],
  "species": ["Pm", "Nd", "I", "I", "O", "O"],
  "fractional_positions": [[0.0000, 0.0000, 0.0000], [0.5000, 0.5000, 0.2516], [0.0000, 0.0000, 0.4558], [0.5000, 0.5000, 0.7944], [0.0000, 0.5000, 0.1236], [0.5000, 0.0000, 0.1236]],
  "vol_a3_per_atom": 25.36,
  "spacegroup": "No. 99",
  "total_magnetization_mub_per_fu": 0.01
}

***

# 4
{
  "formula": "PrNdI2O2",
  "functional": "GGA-PBE",
  "state": "relaxed",
  "lattice": [[4.0916, 0.0000, 0.0000], [0.0000, 4.0916, 0.0000], [0.0000, 0.0000, 9.2542]],
  "species": ["Pr", "Nd", "I", "I", "O", "O"],
  "fractional_positions": [[0.0000, 0.0000, 0.0000], [0.5000, 0.5000, 0.7463], [0.0000, 0.0000, 0.5417], [0.5000, 0.5000, 0.2034], [0.0000, 0.5000, 0.8711], [0.5000, 0.0000, 0.8711]],
  "vol_a3_per_atom": 25.82,
  "spacegroup": "No. 99",
  "total_magnetization_mub_per_fu": 0.01
}

***

# 5
{
  "formula": "NdSeIO7",
  "functional": "GGA-PBE",
  "state": "relaxed",
  "lattice": [[9.3529, 0.0000, 0.0000], [0.0000, 7.0108, 0.0000], [-1.9589, 0.0000, 8.1766]],
  "species": ["Nd", "Nd", "Nd", "Nd", "Se", "Se", "Se", "Se", "I", "I", "I", "I", "O", "O", "O", "O", "O", "O", "O", "O", "O", "O", "O", "O", "O", "O", "O", "O", "O", "O", "O", "O", "O", "O", "O", "O", "O", "O", "O", "O"],
  "fractional_positions": [[0.2054, 0.1616, 0.4897], [0.2054, 0.3384, 0.9897], [0.7946, 0.6616, 0.0103], [0.7946, 0.8384, 0.5103], [0.1119, 0.6745, 0.3089], [0.1119, 0.8255, 0.8089], [0.8881, 0.1745, 0.1911], [0.8881, 0.3255, 0.6911], [0.4715, 0.7045, 0.6508], [0.4715, 0.7955, 0.1508], [0.5285, 0.2045, 0.8492], [0.5285, 0.2955, 0.3492], [0.0625, 0.2122, 0.1812], [0.0625, 0.2878, 0.6812], [0.0812, 0.6011, 0.1133], [0.0812, 0.8989, 0.6133], [0.1959, 0.5160, 0.4464], [0.1959, 0.9840, 0.9464], [0.2101, 0.6276, 0.8249], [0.2101, 0.8724, 0.3249], [0.3355, 0.2220, 0.2653], [0.3355, 0.2780, 0.7653], [0.3934, 0.5549, 0.1337], [0.3934, 0.9451, 0.6337], [0.4872, 0.1898, 0.0530], [0.4872, 0.3102, 0.5530], [0.5128, 0.6898, 0.4470], [0.5128, 0.8102, 0.9470], [0.6066, 0.0549, 0.3663], [0.6066, 0.4451, 0.8663], [0.6645, 0.7220, 0.2347], [0.6645, 0.7780, 0.7347], [0.7899, 0.1276, 0.6751], [0.7899, 0.3724, 0.1751], [0.8041, 0.0160, 0.0536], [0.8041, 0.4840, 0.5536], [0.9188, 0.1011, 0.3867], [0.9188, 0.3989, 0.8867], [0.9375, 0.7122, 0.3188], [0.9375, 0.7878, 0.8188]],
  "vol_a3_per_atom": 13.40,
  "spacegroup": "No. 14",
  "total_magnetization_mub_per_fu": 0.00
}

***

# 6
{
  "formula": "Nd5Te2I3O10",
  "functional": "GGA-PBE",
  "state": "relaxed",
  "lattice": [[6.4153, -2.8566, 0.0000], [6.4153, 2.8566, 0.0000], [-0.7472, 0.0000, 10.6782]],
  "species": ["Nd", "Nd", "Nd", "Nd", "Nd", "Te", "Te", "I", "I", "I", "O", "O", "O", "O", "O", "O", "O", "O", "O", "O"],
  "fractional_positions": [[0.0000, 0.0000, 0.0000], [0.2966, 0.2966, 0.0983], [0.3893, 0.3893, 0.7820], [0.6107, 0.6107, 0.2180], [0.7034, 0.7034, 0.9017], [0.0722, 0.0722, 0.6882], [0.9278, 0.9278, 0.3118], [0.1881, 0.1881, 0.3758], [0.5000, 0.5000, 0.5000], [0.8119, 0.8119, 0.6242], [0.1030, 0.6000, 0.9442], [0.1998, 0.7162, 0.1928], [0.2133, 0.2133, 0.7426], [0.2838, 0.8002, 0.8072], [0.4000, 0.8970, 0.0558], [0.6000, 0.1030, 0.9442], [0.7162, 0.1998, 0.1928], [0.7867, 0.7867, 0.2574], [0.8002, 0.2838, 0.8072], [0.8970, 0.4000, 0.0558]],
  "vol_a3_per_atom": 19.57,
  "spacegroup": "No. 12",
  "total_magnetization_mub_per_fu": 0.01
}

***

# 7
{
  "formula": "Nd4OsI5",
  "functional": "GGA-PBE",
  "state": "relaxed",
  "lattice": [[9.8626, -2.1473, 0.0000], [9.8626, 2.1473, 0.0000], [-2.1528, 0.0000, 9.0398]],
  "species": ["Nd", "Nd", "Nd", "Nd", "Os", "I", "I", "I", "I", "I"],
  "fractional_positions": [[0.0000, 0.0000, 0.2094], [0.0000, 0.0000, 0.7906], [0.3593, 0.3593, 0.9267], [0.6407, 0.6407, 0.0733], [0.5000, 0.5000, 0.0000], [0.1681, 0.1681, 0.3396], [0.1732, 0.1732, 0.8324], [0.5000, 0.5000, 0.5000], [0.8268, 0.8268, 0.1676], [0.8319, 0.8319, 0.6604]],
  "vol_a3_per_atom": 38.29,
  "spacegroup": "No. 12",
  "total_magnetization_mub_per_fu": 0.39
}

***

# 8
{
  "formula": "Nd4PI5",
  "functional": "GGA-PBE",
  "state": "relaxed",
  "lattice": [[9.7606, -2.1254, 0.0000], [9.7606, 2.1254, 0.0000], [-1.9974, 0.0000, 8.7983]],
  "species": ["Nd", "Nd", "Nd", "Nd", "P", "I", "I", "I", "I", "I"],
  "fractional_positions": [[0.0008, 0.0008, 0.2921], [0.3558, 0.3558, 0.4278], [0.6442, 0.6442, 0.5722], [0.9992, 0.9992, 0.7079], [0.5000, 0.5000, 0.5000], [0.1655, 0.1655, 0.8402], [0.1714, 0.1714, 0.3232], [0.5000, 0.5000, 0.0000], [0.8286, 0.8286, 0.6768], [0.8345, 0.8345, 0.1598]],
  "vol_a3_per_atom": 36.50,
  "spacegroup": "No. 12",
  "total_magnetization_mub_per_fu": 0.01
}

***

| no. | E (eV/cell) |
| --- | --- |
| 1 | -266.42 |
| 2 | -131.96 |
| 3 | -38.58 |
| 4 | -38.50 |
| 5 | -229.77 |
| 6 | -132.84 |
| 7 | -48.68 |
| 8 | -46.23 |